The following is a DFT calculation (PBE-GGA) of an optimized crystal structure of La2CdInNi.

Cell: 5.3279 5.3279 5.0248 Å, 90.00 90.00 90.00°
With the nearest neighbours (Å) after each atom.
Sites, in units of the cell vectors:
1 La 0.0000 0.5000 0.0000  2 Ni 2.66
2 In 0.5000 0.5000 0.5000  8 La 3.66, 4 Cd 3.77
3 Cd 0.0000 0.0000 0.5000  2 Ni 2.51
4 Ni 0.0000 0.0000 0.0000  2 Cd 2.51, 4 La 2.66
5 La 0.5000 0.0000 0.0000  2 Ni 2.66

Values from the calculation:
N(E_F) (states/eV/cell): 4.45
Energy relative to the elements (kJ/mol of formula units): -146
Space-group type: P4/mmm, No. 123


The following is a DFT calculation (PBE-GGA) of an optimized crystal structure of ThGaS2.

Cell: 3.6446 3.6446 8.5146 Å, 77.64 77.64 60.00°
With the nearest neighbours (Å) after each atom.
Sites, in units of the cell vectors:
1 S 0.1109 0.1109 0.6674  3 Ga 2.52, 1 Th 2.74
2 S 0.8891 0.8891 0.3326  3 Ga 2.52, 1 Th 2.74
3 Ga 0.5000 0.5000 0.5000  6 S 2.52
4 Th 0.0000 0.0000 0.0000  2 S 2.74

Values from the calculation:
N(E_F) (states/eV/cell): 3.13
Formation energy (no corrections) (eV/atom): -0.56
Space-group type: R-3m, No. 166


The following is a DFT calculation (PBE-GGA) of an optimized crystal structure of CeAlGa4.

Cell: 4.2932 5.7509 5.7509 Å, 94.46 68.08 68.08°
With the nearest neighbours (Å) after each atom.
Sites, in units of the cell vectors:
1 Ce 0.0000 0.0000 0.0000  12 Ga 3.17, 2 Al 3.26
2 Ga 0.2100 0.4510 0.1291  4 Ga 2.67-2.74, 2 Al 2.89
3 Ga 0.2100 0.1291 0.4510  4 Ga 2.67-2.74, 2 Al 2.89
4 Al 0.5000 0.5000 0.5000  8 Ga 2.89
5 Ga 0.7900 0.8709 0.5490  4 Ga 2.67-2.74, 2 Al 2.89
6 Ga 0.7900 0.5490 0.8709  4 Ga 2.67-2.74, 2 Al 2.89

Values from the calculation:
N(E_F) (states/eV/cell): 5.92
Energy relative to the elements (kJ/mol of formula units): -181
Space-group type: Immm, No. 71


The following is a DFT calculation (PBE-GGA) of an optimized crystal structure of Al2InAg.

Cell: 3.0243 3.0243 8.3675 Å, 90.00 90.00 90.00°
With the nearest neighbours (Å) after each atom.
Sites, in units of the cell vectors:
1 Al 0.5000 0.5000 0.2258  8 Al 2.90-3.02, 4 In 3.17
2 Al 0.0000 0.0000 0.9922  4 Ag 2.80, 8 Al 2.90-3.02
3 In 0.0000 0.0000 0.5060  4 In 3.02, 4 Ag 3.11, 4 Al 3.17
4 Ag 0.5000 0.5000 0.7761  4 Al 2.80, 4 Ag 3.02, 4 In 3.11

Values from the calculation:
N(E_F) (states/eV/cell): 1.24
Energy relative to the elements (kJ/mol of formula units): 28
Space-group type: P4mm, No. 99


The following is a DFT calculation (PBE-GGA) of an optimized crystal structure of Pr2GaCuAu6.

Cell: 6.8188 7.1009 7.0831 Å, 45.57 79.49 97.61°
With the nearest neighbours (Å) after each atom.
Sites, in units of the cell vectors:
1 Au 0.2759 0.2760 0.4997  1 Cu 2.61, 1 Ga 2.63, 2 Au 2.74-2.75
2 Au 0.9066 0.7558 0.8478  1 Ga 2.64, 1 Cu 2.67, 2 Au 2.93
3 Au 0.7254 0.2247 0.0011  1 Cu 2.62, 1 Ga 2.64, 3 Au 2.74-2.93
4 Au 0.7241 0.7240 0.5003  1 Cu 2.61, 1 Ga 2.63, 2 Au 2.74-2.75
5 Ga 0.5000 0.5000 0.0000  6 Au 2.63-2.64
6 Pr 0.2639 0.7390 0.4740  7 Au 3.17-3.34, 2 Cu 3.51
7 Cu 0.0000 0.0000 0.0000  6 Au 2.61-2.67
8 Au 0.0934 0.2442 0.1522  1 Ga 2.64, 1 Cu 2.67, 2 Au 2.93
9 Au 0.2746 0.7753 0.9989  1 Cu 2.62, 1 Ga 2.64, 3 Au 2.74-2.93
10 Pr 0.7361 0.2610 0.5260  7 Au 3.17-3.34, 2 Cu 3.51

Values from the calculation:
N(E_F) (states/eV/cell): 5.13
Energy relative to the elements (kJ/mol of formula units): -415
Space-group type: P-1, No. 2


The following is a DFT calculation (PBE-GGA) of an optimized crystal structure of Ac4Tl3O2.

Cell: 4.2516 8.0770 9.6270 Å, 116.09 90.00 105.26°
With the nearest neighbours (Å) after each atom.
Sites, in units of the cell vectors:
1 O 0.7010 0.4020 0.3758  4 Ac 2.39-2.53
2 Ac 0.1280 0.2560 0.4167  3 O 2.50-2.53
3 Ac 0.6925 0.3850 0.1216  1 O 2.39
4 O 0.2990 0.5980 0.6242  4 Ac 2.39-2.53
5 Ac 0.8720 0.7440 0.5833  3 O 2.50-2.53
6 Ac 0.3075 0.6150 0.8784  1 O 2.39
7 Tl 0.0000 0.0000 0.0000  6 Ac 3.42-3.57
8 Tl 0.4130 0.8261 0.2912  7 Ac 3.54-3.80, 1 Tl 3.68
9 Tl 0.5870 0.1739 0.7088  7 Ac 3.54-3.80, 1 Tl 3.68

Values from the calculation:
N(E_F) (states/eV/cell): 3.74
Formation energy (no corrections) (eV/atom): -1.41
Space-group type: C2/m, No. 12


no.,raw total energy (eV per cell)
1,-20.800
2,-20.949
3,-23.657
4,-12.789
5,-40.647
6,-46.157